A geometry-optimized Pm4MgSn2 structure, computed with GGA-PBE.

a b c (Å): 5.3406 5.3406 9.8309
angles (deg): 74.24 74.24 60.00
Last column: nearest neighbours and their distance in Å.
Positions (direct):
Pm: 0.2145 0.2145 0.3564  4 Sn 3.13-3.20
Pm: 0.7855 0.7855 0.6436  4 Sn 3.13-3.20
Pm: 0.3766 0.3766 0.8702  3 Mg 3.31, 3 Sn 3.47
Pm: 0.6234 0.6234 0.1298  3 Mg 3.31, 3 Sn 3.47
Sn: 0.8998 0.8998 0.3005  1 Mg 2.81, 3 Pm 3.13
Sn: 0.1002 0.1002 0.6995  1 Mg 2.81, 3 Pm 3.13
Mg: 0.0000 0.0000 0.0000  2 Sn 2.81

Computed properties:
**Density of states at the Fermi level**: 7.4 states/eV/cell
**Calculated formation energy**: -282 meV per atom
**SG**: R-3m, No. 166
**Raw total energy**: -4.37 eV per atom

A geometry-optimized KRb2AsRh structure, computed with GGA-PBE.

a b c (Å): 5.7191 5.9428 5.7191
angles (deg): 90.00 90.00 90.00
Last column: nearest neighbours and their distance in Å.
Positions (direct):
K: 0.0000 0.5000 0.0000  2 Rh 2.97
As: 0.5000 0.5000 0.5000  4 K 4.04, 8 Rb 4.12
Rb: 0.5000 0.0000 0.0000  2 Rh 2.86
Rb: 0.0000 0.0000 0.5000  2 Rh 2.86
Rh: 0.0000 0.0000 0.0000  4 Rb 2.86, 2 K 2.97

Computed properties:
**Density of states at the Fermi level**: 5.1 states/eV/cell
**Calculated formation energy**: 633 meV per atom
**SG**: P4/mmm, No. 123
**Raw total energy**: -2.37 eV per atom

A geometry-optimized Ca3CO6 structure, computed with GGA-PBE.

a b c (Å): 4.5365 7.7225 7.7225
angles (deg): 104.46 90.00 90.00
Last column: nearest neighbours and their distance in Å.
Positions (direct):
C: 0.5249 0.7930 0.2070  4 O 1.39-1.42
C: 0.0249 0.2070 0.7930  4 O 1.39-1.42
O: 0.6340 0.8629 0.3823  1 C 1.42
O: 0.1340 0.1371 0.6177  1 C 1.42
O: 0.7169 0.3264 0.3395  2 O 2.27, 4 Ca 2.29-2.37
O: 0.2169 0.3395 0.3264  2 O 2.27, 4 Ca 2.29-2.37
O: 0.1340 0.3823 0.8629  1 C 1.42
O: 0.6250 0.9020 0.0980  1 C 1.41
O: 0.2193 0.7892 0.2108  1 C 1.39
O: 0.7193 0.2108 0.7892  1 C 1.39
O: 0.2169 0.6736 0.6605  2 O 2.27, 4 Ca 2.29-2.37
O: 0.1250 0.0980 0.9020  1 C 1.41
O: 0.6340 0.6177 0.1371  1 C 1.42
O: 0.7169 0.6605 0.6736  2 O 2.27, 4 Ca 2.29-2.37
Ca: 0.4836 0.9310 0.6850  6 O 2.29-2.46
Ca: 0.9836 0.6850 0.9310  6 O 2.29-2.46
Ca: 0.4836 0.3150 0.0690  6 O 2.29-2.46
Ca: 0.9473 0.6098 0.3902  7 O 2.36-2.51
Ca: 0.9836 0.0690 0.3150  6 O 2.29-2.46
Ca: 0.4473 0.3902 0.6098  7 O 2.36-2.51

Computed properties:
**Density of states at the Fermi level**: 15.0 states/eV/cell
**E_form (uncorrected)**: -2110 meV/atom
**SG**: Cmc2_1, No. 36
**Raw total energy**: -6.61 eV per atom

A geometry-optimized Ti4MnIn structure, computed with GGA-PBE.

a b c (Å): 4.6412 4.6428 6.3179
angles (deg): 68.51 68.45 60.01
Last column: nearest neighbours and their distance in Å.
Positions (direct):
Ti: 0.7020 0.7023 0.8937  3 Mn 2.75, 7 Ti 2.94-3.06
Ti: 0.1215 0.1219 0.6352  1 Mn 2.09
Ti: 0.8785 0.8781 0.3648  1 Mn 2.09
Ti: 0.2980 0.2977 0.1063  3 Mn 2.75, 7 Ti 2.94-3.06
In: 0.5000 0.5000 0.5000  6 Ti 2.79
Mn: 0.0000 0.0000 0.0000  2 Ti 2.09

Computed properties:
**Density of states at the Fermi level**: 7.7 states/eV/cell
**Calculated formation energy**: 122 meV per atom
**SG**: R-3m, No. 166
**Raw total energy**: -7.13 eV per atom

A geometry-optimized MgFeReB2 structure, computed with GGA-PBE.

a b c (Å): 3.7849 4.3427 3.7849
angles (deg): 90.00 90.00 90.00
Last column: nearest neighbours and their distance in Å.
Positions (direct):
B: 0.5000 0.0000 0.0000  2 Fe 1.89
B: 0.0000 0.0000 0.5000  2 Fe 1.89
Re: 0.5000 0.5000 0.5000  4 Mg 2.68, 8 B 2.88
Fe: 0.0000 0.0000 0.0000  4 B 1.89
Mg: 0.0000 0.5000 0.0000  2 Fe 2.17

Computed properties:
**Density of states at the Fermi level**: 2.8 states/eV/cell
**Calculated formation energy**: 1369 meV per atom
**SG**: P4/mmm, No. 123
**Raw total energy**: -5.80 eV per atom

A geometry-optimized Ca2InCoH structure, computed with GGA-PBE.

a b c (Å): 5.9768 4.7541 5.9768
angles (deg): 90.00 90.00 90.00
Last column: nearest neighbours and their distance in Å.
Positions (direct):
Ca: 0.0000 0.0000 0.5000  2 In 2.99
Ca: 0.5000 0.0000 0.0000  2 In 2.99
Co: 0.0000 0.5000 0.0000  2 In 2.38
H: 0.5000 0.5000 0.5000  8 Ca 3.82, 4 Co 4.23
In: 0.0000 0.0000 0.0000  2 Co 2.38

Computed properties:
**Density of states at the Fermi level**: 3.5 states/eV/cell
**SG**: P4/mmm, No. 123
**Raw total energy**: -2.72 eV per atom

A geometry-optimized BaNd2TiN4 structure, computed with GGA-PBE.

a b c (Å): 3.6297 6.5894 12.3092
angles (deg): 90.00 90.00 105.99
Last column: nearest neighbours and their distance in Å.
Positions (direct):
Nd: 0.6299 0.2599 0.4607  6 N 2.46-2.64
Nd: 0.3701 0.7401 0.9607  6 N 2.46-2.64
Nd: 0.6299 0.2599 0.0393  6 N 2.46-2.64
Nd: 0.3701 0.7401 0.5393  6 N 2.46-2.64
Ti: 0.1727 0.3454 0.2500  4 N 1.89-2.04
Ti: 0.8273 0.6546 0.7500  4 N 1.89-2.04
N: 0.7428 0.4856 0.6237  1 Ti 1.89
N: 0.0000 0.0000 0.0000  4 Nd 2.50
N: 0.5989 0.1978 0.2500  2 Ti 2.04
N: 0.2572 0.5144 0.3763  1 Ti 1.89
N: 0.0000 0.0000 0.5000  4 Nd 2.50
N: 0.7428 0.4856 0.8763  1 Ti 1.89
N: 0.2572 0.5144 0.1237  1 Ti 1.89
N: 0.4011 0.8022 0.7500  2 Ti 2.04
Ba: 0.9012 0.8023 0.2500  8 N 3.01-3.32
Ba: 0.0988 0.1977 0.7500  8 N 3.01-3.32

Computed properties:
**E_form (uncorrected)**: -1280 meV/atom
**SG**: Cmcm, No. 63
**Raw total energy**: -7.86 eV per atom

A geometry-optimized Pm3Zn2Cu7 structure, computed with GGA-PBE.

a b c (Å): 5.3093 5.3093 8.9350
angles (deg): 72.72 72.72 60.00
Last column: nearest neighbours and their distance in Å.
Positions (direct):
Cu: 0.5804 0.0849 0.7543  2 Zn 2.55-2.59, 5 Cu 2.62-2.68
Cu: 0.5804 0.5804 0.7543  2 Zn 2.55-2.59, 5 Cu 2.62-2.68
Cu: 0.4196 0.9151 0.2457  2 Zn 2.55-2.59, 5 Cu 2.62-2.68
Cu: 0.4196 0.4196 0.2457  2 Zn 2.55-2.59, 5 Cu 2.62-2.68
Cu: 0.9151 0.4196 0.2457  2 Zn 2.55-2.59, 5 Cu 2.62-2.68
Cu: 0.0849 0.5804 0.7543  2 Zn 2.55-2.59, 5 Cu 2.62-2.68
Cu: 0.5000 0.5000 0.5000  6 Cu 2.62
Zn: 0.3319 0.3319 0.0043  6 Cu 2.55-2.59
Zn: 0.6681 0.6681 0.9957  6 Cu 2.55-2.59
Pm: 0.8587 0.8587 0.4239  12 Cu 3.05-3.18, 3 Pm 3.32
Pm: 0.1413 0.1413 0.5761  12 Cu 3.05-3.18, 3 Pm 3.32
Pm: 0.0000 0.0000 0.0000  6 Zn 3.07, 12 Cu 3.36

Computed properties:
**Density of states at the Fermi level**: 5.0 states/eV/cell
**Calculated formation energy**: -197 meV per atom
**SG**: R-3m, No. 166
**Raw total energy**: -3.99 eV per atom

A geometry-optimized LaCuCl2 structure, computed with GGA-PBE.

a b c (Å): 4.9881 4.9881 4.9881
angles (deg): 60.00 60.00 60.00
Last column: nearest neighbours and their distance in Å.
Positions (direct):
La: 0.5000 0.5000 0.5000  8 Cl 3.05
Cu: 0.0000 0.0000 0.0000  8 Cl 3.05
Cl: 0.2500 0.2500 0.2500  4 La 3.05, 4 Cu 3.05
Cl: 0.7500 0.7500 0.7500  4 Cu 3.05, 4 La 3.05

Computed properties:
**Density of states at the Fermi level**: 0.0 states/eV/cell
**Polymorph energy (0 for the lowest one)**: 6.9 kJ/mol of atoms
**E_form (uncorrected)**: -1097 meV/atom
**SG**: Fm-3m, No. 225
**Raw total energy**: -4.28 eV per atom

A geometry-optimized Ho6Zn5Pt structure, computed with GGA-PBE.

a b c (Å): 5.0031 7.0587 7.9076
angles (deg): 90.00 71.56 90.00
Last column: nearest neighbours and their distance in Å.
Positions (direct):
Ho: 0.5000 0.2436 0.0000  2 Pt 3.04, 6 Zn 3.09-3.13
Ho: 0.1633 0.2483 0.6733  7 Zn 3.00-3.08, 1 Pt 3.01
Ho: 0.1633 0.7517 0.6733  7 Zn 3.00-3.08, 1 Pt 3.01
Ho: 0.8367 0.2483 0.3267  7 Zn 3.00-3.08, 1 Pt 3.01
Ho: 0.5000 0.7564 0.0000  2 Pt 3.04, 6 Zn 3.09-3.13
Ho: 0.8367 0.7517 0.3267  7 Zn 3.00-3.08, 1 Pt 3.01
Zn: 0.3253 0.0000 0.3493  8 Ho 3.00-3.13
Zn: 0.0000 0.5000 0.0000  8 Ho 3.03-3.09
Zn: 0.3312 0.5000 0.3376  8 Ho 3.07-3.11
Zn: 0.6747 0.0000 0.6507  8 Ho 3.00-3.13
Zn: 0.6688 0.5000 0.6624  8 Ho 3.07-3.11
Pt: 0.0000 0.0000 0.0000  8 Ho 3.01-3.04

Computed properties:
**Density of states at the Fermi level**: 8.9 states/eV/cell
**Calculated formation energy**: -515 meV per atom
**SG**: Cmmm, No. 65
**Raw total energy**: -3.84 eV per atom

A geometry-optimized HfScCoRe structure, computed with GGA-PBE.

a b c (Å): 4.5317 4.5317 4.5317
angles (deg): 60.00 60.00 60.00
Last column: nearest neighbours and their distance in Å.
Positions (direct):
Co: 0.0000 0.0000 0.0000  4 Hf 2.78, 4 Sc 2.78
Re: 0.5000 0.5000 0.5000  4 Sc 2.78, 4 Hf 2.78
Sc: 0.2500 0.2500 0.2500  4 Co 2.78, 4 Re 2.78
Hf: 0.7500 0.7500 0.7500  4 Re 2.78, 4 Co 2.78

Computed properties:
**Density of states at the Fermi level**: 4.3 states/eV/cell
**Calculated formation energy**: -252 meV per atom
**SG**: F-43m, No. 216
**Raw total energy**: -9.21 eV per atom